1.
HfTi2Ge2: optimized geometry, PBE-GGA.

Lattice parameters (Å, degrees): 6.6492 6.6492 5.1301 109.60 109.60 99.42
Fractional coordinates of all 10 atoms:
Hf: 0.0908 0.9092 0.7500
Hf: 0.9092 0.0908 0.2500
Ti: 0.2287 0.4126 0.0342
Ti: 0.4126 0.2287 0.5342
Ti: 0.5874 0.7713 0.4658
Ti: 0.7713 0.5874 0.9658
Ge: 0.1884 0.8116 0.2500
Ge: 0.3664 0.6336 0.7500
Ge: 0.6336 0.3664 0.2500
Ge: 0.8116 0.1884 0.7500

* crystal system: monoclinic
* uncorrected energy: -7.247 eV/atom
* ΔE to the lowest computed polymorph: 0.393 eV per atom

=====

2.
K4Os: optimized geometry, PBE-GGA.

Lattice parameters (Å, degrees): 6.4541 6.4541 6.4541 90.00 90.00 90.00
Fractional coordinates of all 5 atoms:
K: 0.0000 0.0000 0.0000
K: 0.0000 0.5000 0.5000
K: 0.5000 0.0000 0.5000
K: 0.5000 0.5000 0.0000
Os: 0.5000 0.5000 0.5000

* crystal system: cubic
* uncorrected energy: -2.076 eV/atom
* ΔE to the lowest computed polymorph: 0.000 eV per atom